Here is a geometry-optimized U2GaW structure from the Alexandria database. Energies are from PBE.

Its formation energy is 0.4317 eV/atom. The value obtained for the offset from the most stable computed form is 324 meV/atom.

The space group is Fm-3m (No. 225) and the conventional cell measures 6.9159, 6.9159 and 6.9159 Å, with angles of 90.00, 90.00 and 90.00 degrees. Symmetry generates all atoms from U at (0.2500, 0.2500, 0.2500), Ga at (0.0000, 0.0000, 0.0000) and W at (0.0000, 0.0000, 0.5000).



Here is a geometry-optimized U4Ga12W structure from the Alexandria database. Energies are from PBE.

Its formation energy is -0.1819 eV/atom.

The space group is Im-3m (No. 229) and the conventional cell measures 8.6154, 8.6154 and 8.6154 Å, with angles of 90.00, 90.00 and 90.00 degrees. Symmetry generates all atoms from U at (0.2500, 0.2500, 0.2500), Ga at (0.0000, 0.0000, 0.2961), Ga at (0.0000, 0.2500, 0.5000) and W at (0.0000, 0.0000, 0.0000).



Here is a geometry-optimized YU2Ga9 structure from the Alexandria database. Energies are from PBE.

Its formation energy is -0.3412 eV/atom.

The space group is P4/mmm (No. 123) and the conventional cell measures 4.2625, 4.2625 and 12.8325 Å, with angles of 90.00, 90.00 and 90.00 degrees. Symmetry generates all atoms from Y at (0.0000, 0.0000, 0.0000), U at (0.0000, 0.0000, 0.3331), Ga at (0.0000, 0.5000, 0.1686), Ga at (0.0000, 0.5000, 0.5000), Ga at (0.5000, 0.5000, 0.0000) and Ga at (0.5000, 0.5000, 0.3351).



Here is a geometry-optimized YUGa6 structure from the Alexandria database. Energies are from PBE.

Its formation energy is -0.3920 eV/atom.

The space group is P4/mmm (No. 123) and the conventional cell measures 4.2615, 4.2615 and 8.5594 Å, with angles of 90.00, 90.00 and 90.00 degrees. Symmetry generates all atoms from Y at (0.0000, 0.0000, 0.0000), U at (0.0000, 0.0000, 0.5000), Ga at (0.0000, 0.5000, 0.2521), Ga at (0.5000, 0.5000, 0.0000) and Ga at (0.5000, 0.5000, 0.5000).



Here is a geometry-optimized YUGa4 structure from the Alexandria database. Energies are from PBE.

Its formation energy is -0.2681 eV/atom. The value obtained for the offset from the most stable computed form is 97 meV/atom.

The space group is F-43m (No. 216) and the conventional cell measures 7.8138, 7.8138 and 7.8138 Å, with angles of 90.00, 90.00 and 90.00 degrees. Symmetry generates all atoms from Y at (0.0000, 0.0000, 0.0000), U at (0.2500, 0.2500, 0.7500) and Ga at (0.1247, 0.1247, 0.3753).



Here is a geometry-optimized YUGa2 structure from the Alexandria database. Energies are from PBE.

Its formation energy is -0.0655 eV/atom.

The space group is R-3m (No. 166, hexagonal axes) and the conventional cell measures 3.3634, 3.3634 and 28.2344 Å, with angles of 90.00, 90.00 and 120.00 degrees. Symmetry generates all atoms from Y at (0.0000, 0.0000, 0.0000), U at (0.0000, 0.0000, 0.5000) and Ga at (0.0000, 0.0000, 0.2508).



Here is a geometry-optimized YUGa4 structure from the Alexandria database. Energies are from PBE.

Its formation energy is -0.3655 eV/atom. The value obtained for the offset from the most stable computed form is 0 meV/atom.

The space group is Pmmm (No. 47) and the conventional cell measures 4.0299, 4.2203 and 7.3570 Å, with angles of 90.00, 90.00 and 90.00 degrees. Symmetry generates all atoms from Y at (0.0000, 0.0000, 0.0000), U at (0.0000, 0.5000, 0.5000), Ga at (0.5000, 0.0000, 0.3347) and Ga at (0.5000, 0.5000, 0.1671).



Here is a geometry-optimized UZnGa2 structure from the Alexandria database. Energies are from PBE.

Its formation energy is 0.0129 eV/atom.

The space group is Fm-3m (No. 225) and the conventional cell measures 6.7198, 6.7198 and 6.7198 Å, with angles of 90.00, 90.00 and 90.00 degrees. Symmetry generates all atoms from U at (0.0000, 0.0000, 0.0000), Zn at (0.0000, 0.0000, 0.5000) and Ga at (0.2500, 0.2500, 0.2500).